Entry 1:
First-principles (PBE) data for a relaxed structure of KNdGe, as listed in the Open Quantum Materials Database.

Computed properties:
Symmetry = No. 216
Energy above the most stable polymorph in this dataset = 0.00 kcal/mol of atoms

```
3
Lattice="4.3238 -2.8616 0.8828 -0.3852 -4.6924 2.3445 0.8528 -4.3961 -2.7587" Properties=species:S:1:pos:R:3 pbc="T T T"
K 1.1979 -2.9875 0.1171
Nd 3.5936 -8.9626 0.3514
Ge 0.0000 0.0000 0.0000
```

***

Entry 2:
First-principles (PBE) data for a relaxed structure of K2Nd2Ge2O7, as listed in the Open Quantum Materials Database.

Computed properties:
Symmetry = No. 147

```
13
Lattice="5.9683 0.0000 0.0000 -2.9842 5.1687 0.0000 0.0000 0.0000 7.9899" Properties=species:S:1:pos:R:3 pbc="T T T"
K 2.9842 1.7229 0.7240
O 0.2704 1.6395 1.5778
Nd 0.0000 3.4458 2.8009
O 2.7138 3.5293 6.4120
O -1.6995 4.1148 1.5778
Ge 0.0000 0.0000 5.8378
Ge 0.0000 0.0000 2.1521
O 4.6837 1.0539 6.4120
O 1.5550 0.5856 6.4120
O 1.4291 4.5832 1.5778
Nd 2.9842 1.7229 5.1889
O 0.0000 0.0000 3.9949
K 0.0000 3.4458 7.2659
```

***

Entry 3:
First-principles (PBE) data for a relaxed structure of KNdGeSe4, as listed in the Open Quantum Materials Database.

Computed properties:
Symmetry = No. 4

```
14
Lattice="6.9326 0.0000 0.0000 0.0000 7.0833 0.0000 -2.7494 0.0000 8.7090" Properties=species:S:1:pos:R:3 pbc="T T T"
Ge 2.7454 3.7282 7.1498
K 3.7288 0.0479 4.9147
Se 3.0584 1.8964 1.9921
Nd -0.7247 3.4973 8.2591
Ge 1.4378 0.1866 1.5592
K 0.4544 3.5895 3.7944
Se 2.7866 5.3169 1.8547
Se -2.0295 0.6450 8.0392
Se 1.3966 1.7753 6.8543
Se 1.1249 5.4380 6.7169
Nd 4.9079 7.0390 0.4500
Se -0.4268 0.2178 2.9915
Se 6.2128 4.1866 0.6698
Se 4.6100 3.7594 5.7176
```

***

no.,total energy (eV/atom)
1,-3.57
2,-6.20
3,-4.64